1.
Below is TlReSe2 after structural relaxation, with properties calculated at the PBE level.

For the spin magnetization, the calculation gives 0.000 μB/f.u. The value obtained for the formation energy (no corrections) is 0.709 eV per atom. For the energy above the most stable polymorph in this dataset, the calculation gives 706 meV per atom.

a = 4.780 Å, b = 4.780 Å, c = 4.780 Å
α = 60.00°, β = 60.00°, γ = 60.00°
Fractional coordinates of all 4 atoms:
Re 0.000 0.000 0.000
Tl 0.500 0.500 0.500
Se 0.250 0.250 0.250
Se 0.750 0.750 0.750


2.
Below is Sm2PuPt9 after structural relaxation, with properties calculated at the PBE level.

For the spin magnetization, the calculation gives 5.211 μB/f.u. The formation energy comes out at -0.845 eV/atom.

a = 5.441 Å, b = 5.441 Å, c = 9.430 Å
α = 73.23°, β = 73.23°, γ = 60.00°
Site moments in Bohr magnetons follow the coordinates.
Fractional coordinates of all 12 atoms:
Sm 0.861 0.861 0.417  0.04
Sm 0.139 0.139 0.583  0.04
Pu 0.000 0.000 0.000  5.15
Pt 0.667 0.667 0.998  -0.10
Pt 0.333 0.333 0.002  -0.10
Pt 0.500 0.500 0.500  0.00
Pt 0.413 0.413 0.254  -0.03
Pt 0.919 0.413 0.254  -0.03
Pt 0.413 0.919 0.254  -0.03
Pt 0.587 0.587 0.746  -0.03
Pt 0.587 0.081 0.746  -0.03
Pt 0.081 0.587 0.746  -0.03